Entry 1:
First-principles (PBE) data for an optimized crystal structure of DyPaAsC, as listed in Alexandria via LeMat-Bulk.

Output
The space group is R-3m. As for the crystal system: trigonal. The value obtained for the formation energy is -0.66 eV/atom.

Cell and atoms, written as POSCAR:
```
DyPaAsC
1.0
2.005 1.158 13.193
-2.005 1.158 13.193
0.000 -2.315 13.193
Dy Pa As C
2 2 2 2
Direct
0.207 0.207 0.207
0.793 0.793 0.793
0.369 0.369 0.369
0.631 0.631 0.631
0.088 0.088 0.088
0.912 0.912 0.912
0.311 0.311 0.311
0.689 0.689 0.689
```


Entry 2:
First-principles (PBE) data for an optimized crystal structure of LiMnW2, as listed in Alexandria via LeMat-Bulk.

Output
The space group is Cmmm. The calculation puts the relative energy among the computed polymorphs at 21 meV per atom. As for the crystal system: orthorhombic. The value obtained for the formation energy is 0.35 eV/atom.

Cell and atoms, written as POSCAR:
```
LiMnW2
1.0
1.504 -2.193 0.000
1.504 2.193 0.000
0.000 0.000 9.053
Li Mn W
1 1 2
Direct
0.000 0.000 0.000
0.000 0.000 0.500
0.500 0.500 0.270
0.500 0.500 0.730
```


Entry 3:
First-principles (PBE) data for an optimized crystal structure of CePm2As, as listed in Alexandria via LeMat-Bulk.

Output
The space group is R-3m. The calculation puts the relative energy among the computed polymorphs at 182 meV per atom. As for the crystal system: trigonal. The value obtained for the formation energy is -0.34 eV/atom.

Cell and atoms, written as POSCAR:
```
CePm2As
1.0
1.936 1.117 10.491
-1.936 1.117 10.491
0.000 -2.235 10.491
Ce Pm As
1 2 1
Direct
0.000 0.000 0.000
0.110 0.110 0.110
0.890 0.890 0.890
0.500 0.500 0.500
```


Entry 4:
First-principles (PBE) data for an optimized crystal structure of Zn3CdSe4, as listed in Alexandria via LeMat-Bulk.

Output
The space group is P-4m2. As for the crystal system: tetragonal. As for the formation energy without anion corrections: -682 meV per atom.

Cell and atoms, written as POSCAR:
```
Zn3CdSe4
1.0
4.123 0.000 0.000
0.000 4.123 0.000
0.000 0.000 11.777
Zn Cd Se
3 1 4
Direct
0.000 0.000 0.000
0.500 0.500 0.239
0.500 0.500 0.761
0.000 0.000 0.500
0.000 0.500 0.119
0.000 0.500 0.643
0.500 0.000 0.357
0.500 0.000 0.881
```


Entry 5:
First-principles (PBE) data for an optimized crystal structure of Ac7Ir2Pd2, as listed in Alexandria via LeMat-Bulk.

Output
The space group is Imm2. As for the crystal system: orthorhombic. The value obtained for the formation energy is -0.55 eV/atom.

Cell and atoms, written as POSCAR:
```
Ac7Ir2Pd2
1.0
-2.120 8.314 5.065
2.120 -8.314 5.065
2.120 8.314 -5.065
Ac Ir Pd
7 2 2
Direct
0.000 0.000 0.000
0.101 0.410 0.690
0.168 0.786 0.382
0.404 0.786 0.618
0.520 0.627 0.893
0.720 0.410 0.310
0.733 0.627 0.107
0.366 0.366 0.000
0.793 0.293 0.500
0.357 0.114 0.243
0.872 0.114 0.757
```


Entry 6:
First-principles (PBE) data for an optimized crystal structure of Li3TlCd4, as listed in Alexandria via LeMat-Bulk.

Output
The space group is P-1. The calculation puts the relative energy among the computed polymorphs at 36 meV per atom. As for the crystal system: triclinic. The value obtained for the formation energy is -0.13 eV/atom.

Cell and atoms, written as POSCAR:
```
Li3TlCd4
1.0
3.227 0.000 0.000
0.020 4.564 0.000
1.540 2.011 11.628
Li Tl Cd
3 1 4
Direct
0.000 0.000 0.000
0.144 0.642 0.703
0.856 0.358 0.297
0.500 0.500 0.000
0.280 0.776 0.443
0.407 0.910 0.196
0.593 0.090 0.804
0.720 0.224 0.557
```